# PBE Y2ZnSbC, relaxed
data_Y2ZnSbC
_chemical_formula_sum 'Y2 Zn1 Sb1 C1'
_cell_length_a 5.033
_cell_length_b 5.033
_cell_length_c 4.061
_cell_angle_alpha 90.00
_cell_angle_beta 90.00
_cell_angle_gamma 90.00
_space_group_name_H-M_alt 'P 4/m m m'
_space_group_IT_number 123
_space_group_name_Hall '-P 4 2'
loop_
_atom_site_label
_atom_site_type_symbol
_atom_site_fract_x
_atom_site_fract_y
_atom_site_fract_z
Y1 Y 0.000 0.500 0.000
Zn1 Zn 0.000 0.000 0.500
Sb1 Sb 0.500 0.500 0.500
C1 C 0.000 0.000 0.000
# Magnetization   0.00 μB/f.u.
# Formation energy from raw total energies   -0.51 eV/atom
# E_tot   -6.0172 eV per atom
# N(E_F)   1.131 states/eV/cell

=====

# PBE Rb2AgPd, relaxed
data_Rb2AgPd
_chemical_formula_sum 'Rb8 Ag4 Pd4'
_cell_length_a 8.308
_cell_length_b 8.308
_cell_length_c 8.308
_cell_angle_alpha 90.00
_cell_angle_beta 90.00
_cell_angle_gamma 90.00
_space_group_name_H-M_alt 'F m -3 m'
_space_group_IT_number 225
_space_group_name_Hall '-F 4 2 3'
loop_
_atom_site_label
_atom_site_type_symbol
_atom_site_fract_x
_atom_site_fract_y
_atom_site_fract_z
Rb1 Rb 0.250 0.250 0.250
Ag1 Ag 0.000 0.000 0.000
Pd1 Pd 0.000 0.000 0.500
# Magnetization   0.00 μB/f.u.
# E_tot   -2.1670 eV per atom
# Relative energy among the computed polymorphs   0.275 eV/atom
# N(E_F)   17.981 states/eV/cell

=====

# PBE Ca2TlCoRh, relaxed
data_Ca2TlCoRh
_chemical_formula_sum 'Ca2 Tl1 Co1 Rh1'
_cell_length_a 5.446
_cell_length_b 5.446
_cell_length_c 4.490
_cell_angle_alpha 90.00
_cell_angle_beta 90.00
_cell_angle_gamma 90.00
_space_group_name_H-M_alt 'P 4/m m m'
_space_group_IT_number 123
_space_group_name_Hall '-P 4 2'
loop_
_atom_site_label
_atom_site_type_symbol
_atom_site_fract_x
_atom_site_fract_y
_atom_site_fract_z
Ca1 Ca 0.000 0.500 0.000
Tl1 Tl 0.000 0.000 0.500
Co1 Co 0.500 0.500 0.500
Rh1 Rh 0.500 0.500 0.000
# Magnetization   0.00 μB/f.u.
# E_tot   -3.9840 eV per atom
# N(E_F)   4.100 states/eV/cell

=====

# PBE La12PrPb4N3, relaxed
data_La12PrPb4N3
_chemical_formula_sum 'La24 Pr2 Pb8 N6'
_cell_length_a 10.480
_cell_length_b 10.480
_cell_length_c 10.480
_cell_angle_alpha 90.00
_cell_angle_beta 90.00
_cell_angle_gamma 90.00
_space_group_name_H-M_alt 'I m -3 m'
_space_group_IT_number 229
_space_group_name_Hall '-I 4 2 3'
loop_
_atom_site_label
_atom_site_type_symbol
_atom_site_fract_x
_atom_site_fract_y
_atom_site_fract_z
La1 La 0.000 0.000 0.275
La2 La 0.000 0.250 0.500
Pr1 Pr 0.000 0.000 0.000
Pb1 Pb 0.250 0.250 0.250
N1 N 0.000 0.000 0.500
# Magnetization   0.00 μB/f.u.
# Formation energy from raw total energies   -0.60 eV/atom
# E_tot   -5.7865 eV per atom
# N(E_F)   35.603 states/eV/cell

=====

# PBE Ca2SbAs, relaxed
data_Ca2SbAs
_chemical_formula_sum 'Ca4 Sb2 As2'
_cell_length_a 6.951
_cell_length_b 8.239
_cell_length_c 3.692
_cell_angle_alpha 90.00
_cell_angle_beta 90.00
_cell_angle_gamma 90.00
_space_group_name_H-M_alt 'C m m m'
_space_group_IT_number 65
_space_group_name_Hall '-C 2 2'
loop_
_atom_site_label
_atom_site_type_symbol
_atom_site_fract_x
_atom_site_fract_y
_atom_site_fract_z
Ca1 Ca 0.250 0.250 0.000
Sb1 Sb 0.000 0.000 0.500
As1 As 0.000 0.500 0.500
# Magnetization   0.00 μB/f.u.
# Formation energy from raw total energies   -0.82 eV/atom
# E_tot   -4.0171 eV per atom
# N(E_F)   3.815 states/eV/cell

=====

# PBE Pm6AlGe2, relaxed
data_Pm6AlGe2
_chemical_formula_sum 'Pm6 Al1 Ge2'
_cell_length_a 8.1791
_cell_length_b 8.1791
_cell_length_c 4.3626
_cell_angle_alpha 90.00
_cell_angle_beta 90.00
_cell_angle_gamma 120.00
_space_group_name_H-M_alt 'P -6 2 m'
_space_group_IT_number 189
_space_group_name_Hall 'P -6 -2'
loop_
_atom_site_label
_atom_site_type_symbol
_atom_site_fract_x
_atom_site_fract_y
_atom_site_fract_z
Pm1 Pm 0.0000 0.4087 0.0000
Pm2 Pm 0.0000 0.7271 0.5000
Al1 Al 0.0000 0.0000 0.0000
Ge1 Ge 0.3333 0.6667 0.5000
# Magnetization   0.74 μB/f.u.
# E_tot   -5.0813 eV per atom
# Relative energy among the computed polymorphs   0.025 eV/atom
# N(E_F)   11.619 states/eV/cell

=====

# PBE RbAlS2, relaxed
data_RbAlS2
_chemical_formula_sum 'Rb4 Al4 S8'
_cell_length_a 6.987
_cell_length_b 6.987
_cell_length_c 6.987
_cell_angle_alpha 90.00
_cell_angle_beta 90.00
_cell_angle_gamma 90.00
_space_group_name_H-M_alt 'F m -3 m'
_space_group_IT_number 225
_space_group_name_Hall '-F 4 2 3'
loop_
_atom_site_label
_atom_site_type_symbol
_atom_site_fract_x
_atom_site_fract_y
_atom_site_fract_z
Rb1 Rb 0.000 0.000 0.000
Al1 Al 0.000 0.000 0.500
S1 S 0.250 0.250 0.250
# Magnetization   0.00 μB/f.u.
# Formation energy from raw total energies   -0.07 eV/atom
# E_tot   -3.3078 eV per atom
# N(E_F)   4.775 states/eV/cell

=====

# PBE Ba2CaY, relaxed
data_Ba2CaY
_chemical_formula_sum 'Ba8 Ca4 Y4'
_cell_length_a 9.121
_cell_length_b 9.121
_cell_length_c 9.121
_cell_angle_alpha 90.00
_cell_angle_beta 90.00
_cell_angle_gamma 90.00
_space_group_name_H-M_alt 'F m -3 m'
_space_group_IT_number 225
_space_group_name_Hall '-F 4 2 3'
loop_
_atom_site_label
_atom_site_type_symbol
_atom_site_fract_x
_atom_site_fract_y
_atom_site_fract_z
Ba1 Ba 0.250 0.250 0.250
Ca1 Ca 0.000 0.000 0.000
Y1 Y 0.000 0.000 0.500
# Magnetization   0.00 μB/f.u.
# E_tot   -2.8737 eV per atom
# Relative energy among the computed polymorphs   0.071 eV/atom
# N(E_F)   34.612 states/eV/cell

=====

Look up the E_tot of the fifth one. -4.0171 eV per atom